--- i ---
DFT (PBE) results for a geometry-optimized AgAsAuO structure.

Lattice parameters (Å, degrees): 4.4012 4.4012 7.7472 90.00 90.00 90.00
With the nearest neighbours (Å) after each atom.
Space group P4/nmm (No. 129, origin choice 2)
Asymmetric unit:
Ag (0.2500, 0.2500, 0.0299) [2 per cell]  4 O 2.21
As (0.2500, 0.2500, 0.6768) [2 per cell]  4 Au 2.59, 1 Ag 2.74
Au (0.2500, 0.7500, 0.5000) [2 per cell]  4 As 2.59
O (0.2500, 0.7500, 0.0000) [2 per cell]  4 Ag 2.21


--- ii ---
DFT (PBE) results for a geometry-optimized AgAsAuO structure.

Lattice parameters (Å, degrees): 3.7014 3.7014 9.7168 90.00 90.00 90.00
With the nearest neighbours (Å) after each atom.
Space group P4/nmm (No. 129, origin choice 2)
Asymmetric unit:
Ag (0.2500, 0.7500, 0.0000) [2 per cell]  4 Ag 2.62, 4 Au 2.89
As (0.2500, 0.2500, 0.3833) [2 per cell]  4 O 2.17
Au (0.2500, 0.2500, 0.7719) [2 per cell]  4 Ag 2.89, 4 As 3.02, 4 O 3.23
O (0.2500, 0.7500, 0.5000) [2 per cell]  4 As 2.17


Of the structures shown above, i is the least stable.